# Pa2Te2I3, optimized geometry, DFT PBE
data_Pa2Te2I3
_cell_length_a 4.343
_cell_length_b 4.341
_cell_length_c 16.213
_cell_angle_alpha 90.00
_cell_angle_beta 97.81
_cell_angle_gamma 90.00
_space_group_name_H-M_alt 'P 1'
_space_group_IT_number 1
loop_
_space_group_symop_operation_xyz
'x,y,z'
loop_
_atom_site_label
_atom_site_fract_x
_atom_site_fract_y
_atom_site_fract_z
_atom_site_occupancy
Pa1 0.098 0.000 0.194 1
Pa2 0.902 0.000 0.806 1
Te1 0.409 0.500 0.820 1
Te2 0.591 0.500 0.180 1
I1 0.190 0.000 0.374 1
I2 0.000 0.000 0.000 1
I3 0.810 0.000 0.626 1
# volume = 302.8 Å³/cell
# raw formation energy = -0.78 eV per atom
# calculated total energy = -5.0502 eV per atom
# total magnetic moment = 0.31 μB per atom